# 1
Computed, not measured: crystalline DySc3Sb2 at its relaxed geometry at the PBE level of DFT.

a b c (Å): 4.253 9.930 8.875
angles (deg): 123.50 90.00 102.37
Last column: magnetic moment on the atom in μB.
Fractional positions:
Dy 0.889 0.779 0.901  0.00
Dy 0.111 0.221 0.099  0.00
Sc 0.309 0.618 0.514  0.21
Sc 0.935 0.871 0.549  0.06
Sc 0.645 0.291 0.804  0.00
Sc 0.355 0.709 0.196  0.00
Sc 0.065 0.129 0.451  0.06
Sc 0.691 0.382 0.486  0.21
Sb 0.490 0.979 0.809  0.00
Sb 0.510 0.021 0.191  0.00
Sb 0.753 0.506 0.224  0.00
Sb 0.247 0.494 0.776  0.00

Properties
E_tot   -5.973 eV/atom
Symmetry   C2/m
Density of states at the Fermi level   9.76 states/eV/cell
Formation energy (no corrections)   -666 meV/atom

# 2
Computed, not measured: crystalline Ce2AgAu2 at its relaxed geometry at the PBE level of DFT.

a b c (Å): 3.938 7.956 7.956
angles (deg): 90.00 90.00 90.00
Last column: magnetic moment on the atom in μB.
Fractional positions:
Ce 0.500 0.171 0.671  0.74
Ce 0.500 0.671 0.829  0.74
Ce 0.500 0.829 0.329  0.74
Ce 0.500 0.329 0.171  0.74
Ag 0.000 0.000 0.000  0.01
Ag 0.000 0.500 0.500  0.01
Au 0.000 0.370 0.870  0.00
Au 0.000 0.870 0.630  0.00
Au 0.000 0.630 0.130  0.00
Au 0.000 0.130 0.370  0.00

Properties
E_tot   -4.769 eV/atom
E_form   -0.51 eV/atom
Symmetry   P4/mbm
Density of states at the Fermi level   28.54 states/eV/cell

# 3
Computed, not measured: crystalline PuAgSnSe3 at its relaxed geometry at the PBE level of DFT.

a b c (Å): 4.024 8.721 9.158
angles (deg): 99.75 90.00 90.00
Last column: magnetic moment on the atom in μB.
Fractional positions:
Pu 0.250 0.158 0.211  5.17
Pu 0.750 0.842 0.789  5.17
Ag 0.250 0.096 0.579  -0.02
Ag 0.750 0.904 0.421  -0.02
Sn 0.250 0.648 0.175  -0.01
Sn 0.750 0.352 0.825  -0.01
Se 0.750 0.904 0.126  -0.09
Se 0.250 0.096 0.874  -0.09
Se 0.250 0.761 0.544  -0.08
Se 0.750 0.239 0.456  -0.08
Se 0.750 0.391 0.137  -0.07
Se 0.250 0.609 0.863  -0.07

Properties
E_tot   -5.988 eV/atom
Symmetry   P2_1/m
Density of states at the Fermi level   24.47 states/eV/cell
Formation energy (no corrections)   -714 meV/atom

# 4
Computed, not measured: crystalline Np2Co17 at its relaxed geometry at the PBE level of DFT.

a b c (Å): 6.223 6.223 6.223
angles (deg): 82.96 82.96 82.96
Last column: magnetic moment on the atom in μB.
Fractional positions:
Np 0.341 0.341 0.341  -3.73
Np 0.659 0.659 0.659  -3.73
Co 0.650 0.650 0.152  1.43
Co 0.152 0.650 0.650  1.43
Co 0.900 0.900 0.900  1.60
Co 0.100 0.100 0.100  1.60
Co 0.000 0.000 0.500  1.49
Co 0.000 0.500 0.000  1.49
Co 0.500 0.000 0.000  1.49
Co 0.292 0.708 0.000  1.50
Co 0.708 0.000 0.292  1.50
Co 0.000 0.292 0.708  1.50
Co 0.708 0.292 0.000  1.50
Co 0.292 0.000 0.708  1.50
Co 0.000 0.708 0.292  1.50
Co 0.848 0.350 0.350  1.43
Co 0.350 0.350 0.848  1.43
Co 0.350 0.848 0.350  1.43
Co 0.650 0.152 0.650  1.43

Properties
E_tot   -7.750 eV/atom
E_form   -0.03 eV/atom
Symmetry   R-3m
Density of states at the Fermi level   23.43 states/eV/cell

# 5
Computed, not measured: crystalline Re3SiW at its relaxed geometry at the PBE level of DFT.

a b c (Å): 4.352 4.352 4.352
angles (deg): 90.00 90.00 90.00
Fractional positions:
Re 0.000 0.500 0.000
Re 0.000 0.000 0.500
Re 0.500 0.000 0.000
Si 0.000 0.000 0.000
W 0.500 0.500 0.500

Properties
E_tot   -9.981 eV/atom
Energy above the most stable polymorph in this dataset   0.0 kJ/mol of atoms
Symmetry   Pm-3m
Density of states at the Fermi level   1.78 states/eV/cell
Formation energy (no corrections)   1163 meV/atom

# 6
Computed, not measured: crystalline BaMg4Cd2Ag at its relaxed geometry at the PBE level of DFT.

a b c (Å): 4.872 4.872 10.644
angles (deg): 76.77 76.77 60.00
Fractional positions:
Ba 0.000 0.000 0.000
Mg 0.412 0.412 0.765
Mg 0.862 0.862 0.413
Mg 0.138 0.138 0.587
Mg 0.588 0.588 0.235
Cd 0.756 0.756 0.732
Cd 0.244 0.244 0.268
Ag 0.500 0.500 0.500

Properties
E_tot   -1.772 eV/atom
E_form   -0.15 eV/atom
Symmetry   R-3m
Density of states at the Fermi level   4.25 states/eV/cell

# 7
Computed, not measured: crystalline LiPmTmGe at its relaxed geometry at the PBE level of DFT.

a b c (Å): 5.051 5.051 5.051
angles (deg): 60.00 60.00 60.00
Fractional positions:
Ge 0.250 0.250 0.250
Tm 0.500 0.500 0.500
Li 0.750 0.750 0.750
Pm 0.000 0.000 0.000

Properties
E_tot   -4.340 eV/atom
E_form   -0.40 eV/atom
Symmetry   F-43m
Density of states at the Fermi level   2.16 states/eV/cell

# 8
Computed, not measured: crystalline Ce2Sc3Te6 at its relaxed geometry at the PBE level of DFT.

a b c (Å): 7.365 7.361 7.531
angles (deg): 80.53 70.80 59.98
Last column: magnetic moment on the atom in μB.
Fractional positions:
Ce 0.165 0.670 0.500  0.97
Ce 0.835 0.330 0.500  0.97
Sc 0.000 0.000 0.000  0.06
Sc 0.328 0.344 0.000  0.06
Sc 0.672 0.656 0.000  0.06
Te 0.412 0.679 0.766  -0.01
Te 0.732 0.000 0.770  -0.01
Te 0.091 0.321 0.766  -0.01
Te 0.268 0.000 0.230  -0.01
Te 0.588 0.321 0.234  -0.01
Te 0.909 0.679 0.234  -0.01

Properties
E_tot   -5.793 eV/atom
Symmetry   C2/m
Density of states at the Fermi level   18.40 states/eV/cell
Formation energy (no corrections)   -1274 meV/atom

# 9
Computed, not measured: crystalline PuInNi5 at its relaxed geometry at the PBE level of DFT.

a b c (Å): 4.872 8.101 10.301
angles (deg): 90.00 90.00 90.00
Last column: magnetic moment on the atom in μB.
Fractional positions:
Pu 0.250 0.254 0.942  4.97
Pu 0.750 0.246 0.442  4.97
Pu 0.250 0.754 0.558  4.97
Pu 0.750 0.746 0.058  4.97
In 0.250 0.864 0.861  0.01
In 0.750 0.636 0.361  0.01
In 0.250 0.364 0.639  0.01
In 0.750 0.136 0.139  0.01
Ni 0.250 0.587 0.018  -0.28
Ni 0.750 0.913 0.518  -0.28
Ni 0.250 0.087 0.482  -0.28
Ni 0.750 0.413 0.982  -0.28
Ni 0.750 0.313 0.758  -0.20
Ni 0.250 0.187 0.258  -0.20
Ni 0.750 0.813 0.742  -0.20
Ni 0.250 0.687 0.242  -0.20
Ni 0.250 0.949 0.106  -0.13
Ni 0.750 0.551 0.606  -0.13
Ni 0.250 0.449 0.394  -0.13
Ni 0.750 0.051 0.894  -0.13
Ni 0.999 0.432 0.188  -0.17
Ni 0.001 0.068 0.688  -0.17
Ni 0.501 0.932 0.312  -0.17
Ni 0.499 0.568 0.812  -0.17
Ni 0.001 0.568 0.812  -0.17
Ni 0.999 0.932 0.312  -0.17
Ni 0.499 0.068 0.688  -0.17
Ni 0.501 0.432 0.188  -0.17

Properties
E_tot   -6.754 eV/atom
E_form   -0.19 eV/atom
Symmetry   Pnma
Density of states at the Fermi level   76.07 states/eV/cell

# 10
Computed, not measured: crystalline PmPr2Tm9 at its relaxed geometry at the PBE level of DFT.

a b c (Å): 3.499 11.200 11.200
angles (deg): 120.00 90.00 90.00
Fractional positions:
Pm 0.000 0.000 0.000
Pr 0.000 0.333 0.667
Pr 0.000 0.667 0.333
Tm 0.000 0.000 0.500
Tm 0.000 0.500 0.500
Tm 0.000 0.500 0.000
Tm 0.500 0.350 0.175
Tm 0.500 0.175 0.825
Tm 0.500 0.175 0.350
Tm 0.500 0.825 0.650
Tm 0.500 0.825 0.175
Tm 0.500 0.650 0.825

Properties
E_tot   -4.473 eV/atom
E_form   0.07 eV/atom
Energy above the most stable polymorph in this dataset   4.2 kJ/mol of atoms
Symmetry   P6/mmm
Density of states at the Fermi level   18.81 states/eV/cell

# 11
Computed, not measured: crystalline BeCuSe2N at its relaxed geometry at the PBE level of DFT.

a b c (Å): 5.030 5.030 2.983
angles (deg): 90.00 90.00 90.00
Fractional positions:
Be 0.000 0.000 0.000
Cu 0.500 0.500 0.500
Se 0.000 0.500 0.000
Se 0.500 0.000 0.000
N 0.000 0.000 0.500

Properties
E_tot   -4.099 eV/atom
Energy above the most stable polymorph in this dataset   0.0 kJ/mol of atoms
Symmetry   P4/mmm
Density of states at the Fermi level   5.27 states/eV/cell
Formation energy (no corrections)   525 meV/atom

# 12
Computed, not measured: crystalline Ba2Bi2S at its relaxed geometry at the PBE level of DFT.

a b c (Å): 6.832 6.832 6.584
angles (deg): 58.75 58.75 90.00
Fractional positions:
S 0.000 0.000 0.000
Bi 0.325 0.325 0.351
Bi 0.675 0.675 0.649
Ba 0.750 0.250 0.500
Ba 0.250 0.750 0.500

Properties
E_tot   -3.709 eV/atom
Energy above the most stable polymorph in this dataset   30.5 kJ/mol of atoms
Symmetry   I4/mmm
Density of states at the Fermi level   4.45 states/eV/cell
Formation energy (no corrections)   -562 meV/atom